SrCdFeF2: optimized geometry, PBE+U.

a b c (Å): 4.7175 4.7175 5.2137
angles (deg): 90.00 90.00 90.00
Fractional positions:
Sr (0.0000, 0.0000, 0.0000)
Cd (0.5000, 0.5000, 0.5000)
Fe (0.5000, 0.5000, 0.0000)
F (0.0000, 0.5000, 0.5000)
F (0.5000, 0.0000, 0.5000)

Output
Volume in Å³/f.u.: 116
E in eV/cell: -16.94
N(E_F) in states/eV/f.u.: 1.9